1.
Crystalline Na3PmIn2O6 at its relaxed geometry. Source: the Alexandria database, functional PBE-GGA.

The structure in POSCAR format:
```
Na3PmIn2O6
1.0
-1.730 -3.087 4.627
4.803 -1.544 -2.912
2.081 4.819 2.790
Na Pm In O
3 1 2 6
Direct
0.175 0.825 0.500
0.825 0.175 0.500
0.500 0.500 0.500
0.000 0.000 0.000
0.334 0.666 0.000
0.666 0.334 0.000
0.929 0.580 0.784
0.723 0.723 0.218
0.071 0.420 0.216
0.580 0.929 0.784
0.277 0.277 0.782
0.420 0.071 0.216
```

Computed properties:
Formation energy without anion corrections: -1947.8 meV per atom
Mass density: 5.4 Mg/m³
E_tot: -67.31 eV/cell


2.
Crystalline NaPr2InO5 at its relaxed geometry. Source: the Alexandria database, functional PBE-GGA.

The structure in POSCAR format:
```
NaPr2InO5
1.0
6.886 0.000 0.000
0.000 6.886 0.000
-3.443 -3.443 6.074
Na Pr In O
2 4 2 10
Direct
0.250 0.250 0.500
0.750 0.750 0.500
0.178 0.322 0.000
0.678 0.178 0.000
0.322 0.822 0.000
0.822 0.678 0.000
0.250 0.750 0.500
0.750 0.250 0.500
0.982 0.482 0.253
0.730 0.230 0.747
0.018 0.518 0.747
0.230 0.018 0.747
0.518 0.730 0.747
0.770 0.982 0.253
0.482 0.270 0.253
0.270 0.770 0.253
0.500 0.500 0.000
0.000 0.000 0.000
```

Computed properties:
Formation energy without anion corrections: -2366.4 meV per atom
Mass density: 5.8 Mg/m³
E_tot: -119.41 eV/cell


3.
Crystalline NaPrIn4O8 at its relaxed geometry. Source: the Alexandria database, functional PBE-GGA.

The structure in POSCAR format:
```
NaPrIn4O8
1.0
6.657 0.000 0.000
3.329 5.765 0.000
3.329 1.922 5.395
Na Pr In O
1 1 4 8
Direct
0.000 0.000 0.999
0.382 0.382 0.855
0.617 0.617 0.148
0.002 0.497 0.499
0.497 0.002 0.499
0.002 0.002 0.499
0.247 0.793 0.713
0.793 0.247 0.713
0.247 0.247 0.713
0.240 0.240 0.281
0.747 0.226 0.280
0.226 0.747 0.280
0.747 0.747 0.280
0.753 0.753 0.740
```

Computed properties:
Formation energy without anion corrections: -1829.9 meV per atom
Mass density: 6.0 Mg/m³
E_tot: -82.34 eV/cell


E_tot of number 2 (NaPr2InO5)? -119.41 eV/cell